No. 1
# AcNd7Er12

A relaxed AcNd7Er12 crystal (PBE, Alexandria via LeMat-Bulk). Values from VASP.

The structure in Quantum ESPRESSO input format:
```
&SYSTEM
  ibrav = 0, nat = 20, ntyp = 3
/
ATOMIC_SPECIES
Ac 227.00 Ac.upf
Nd 144.24 Nd.upf
Er 167.26 Er.upf
CELL_PARAMETERS angstrom
-5.662 5.662 5.662
5.662 -5.662 5.662
5.662 5.662 -5.662
ATOMIC_POSITIONS crystal
Ac 0.000 0.000 0.000
Nd 0.000 0.000 0.500
Nd 0.000 0.500 0.000
Nd 0.000 0.500 0.500
Nd 0.500 0.000 0.000
Nd 0.500 0.000 0.500
Nd 0.500 0.500 0.000
Nd 0.500 0.500 0.500
Er 0.001 0.255 0.746
Er 0.254 0.509 0.255
Er 0.254 0.999 0.745
Er 0.255 0.254 0.509
Er 0.255 0.746 0.001
Er 0.491 0.745 0.746
Er 0.509 0.255 0.254
Er 0.745 0.254 0.999
Er 0.745 0.746 0.491
Er 0.746 0.001 0.255
Er 0.746 0.491 0.745
Er 0.999 0.745 0.254
```

Properties
E, eV for the cell shown: -79.85
Energy of formation from the pure elements, eV per atom: 0.62
Magnetic moment, μB per cell: 0.0
Density of states at the Fermi level, states/eV/cell: 29.2
Space group: Im-3

---

No. 2
# Ac8Nd4Er

A relaxed Ac8Nd4Er crystal (PBE, Alexandria via LeMat-Bulk). Values from VASP.

The structure in Quantum ESPRESSO input format:
```
&SYSTEM
  ibrav = 0, nat = 13, ntyp = 3
/
ATOMIC_SPECIES
Ac 227.00 Ac.upf
Nd 144.24 Nd.upf
Er 167.26 Er.upf
CELL_PARAMETERS angstrom
5.921 3.419 4.820
-5.921 3.419 4.820
0.000 -6.837 4.820
ATOMIC_POSITIONS crystal
Ac 0.240 0.240 0.240
Ac 0.240 0.240 0.758
Ac 0.240 0.758 0.240
Ac 0.242 0.760 0.760
Ac 0.758 0.240 0.240
Ac 0.760 0.242 0.760
Ac 0.760 0.760 0.242
Ac 0.760 0.760 0.760
Nd 0.000 0.000 0.000
Nd 0.000 0.500 0.500
Nd 0.500 0.000 0.500
Nd 0.500 0.500 0.000
Er 0.500 0.500 0.500
```

Properties
E, eV for the cell shown: -51.28
Energy of formation from the pure elements, eV per atom: 0.40
Magnetic moment, μB per cell: 0.0
Density of states at the Fermi level, states/eV/cell: 20.8
Space group: R-3m